No. 1
# PBE Sn2HgCl2, relaxed
# DOS at the Fermi energy: 0.123 states/eV/atom
# ΔE_f (raw): -460 meV per atom
data_Sn2HgCl2
_chemical_formula_sum 'Sn4 Hg2 Cl4'
_space_group_name_H-M_alt 'P 4/m b m'
_space_group_IT_number 127
_space_group_name_Hall '-P 4 2ab'
_cell_length_a 7.517
_cell_length_b 7.517
_cell_length_c 5.337
_cell_angle_alpha 90.00
_cell_angle_beta 90.00
_cell_angle_gamma 90.00
loop_
_atom_site_label
_atom_site_type_symbol
_atom_site_fract_x
_atom_site_fract_y
_atom_site_fract_z
_atom_site_occupancy
Sn1 Sn 0.142 0.358 0.000 1
Hg1 Hg 0.000 0.000 0.000 1
Cl1 Cl 0.183 0.317 0.500 1

***

No. 2
# PBE SnHgCl4, relaxed
# DOS at the Fermi energy: 0.000 states/eV/atom
# Distance to the lowest polymorph of the same formula: 0.000 eV/atom
# ΔE_f (raw): -799 meV per atom
data_SnHgCl4
_chemical_formula_sum 'Sn4 Hg4 Cl16'
_space_group_name_H-M_alt 'C 1 2/c 1'
_space_group_IT_number 15
_cell_length_a 9.882
_cell_length_b 16.070
_cell_length_c 6.999
_cell_angle_alpha 90.00
_cell_angle_beta 134.53
_cell_angle_gamma 90.00
loop_
_space_group_symop_operation_xyz
'x,y,z'
'-x,-y,-z'
'-x,y,-z+1/2'
'x,-y,z+1/2'
'x+1/2,y+1/2,z'
'-x+1/2,-y+1/2,-z'
'-x+1/2,y+1/2,-z+1/2'
'x+1/2,-y+1/2,z+1/2'
loop_
_atom_site_label
_atom_site_type_symbol
_atom_site_fract_x
_atom_site_fract_y
_atom_site_fract_z
_atom_site_occupancy
Sn1 Sn 0.000 0.069 0.250 1
Hg1 Hg 0.000 0.314 0.750 1
Cl1 Cl 0.207 0.302 0.695 1
Cl2 Cl 0.216 0.043 0.803 1

***

No. 3
# PBE SnHg2Cl2, relaxed
# DOS at the Fermi energy: 0.000 states/eV/atom
# ΔE_f (raw): -548 meV per atom
data_SnHg2Cl2
_chemical_formula_sum 'Sn3 Hg6 Cl6'
_space_group_name_H-M_alt 'R -3 m'
_space_group_IT_number 166
_space_group_name_Hall '-R 3 2"'
_cell_length_a 4.2344
_cell_length_b 4.2344
_cell_length_c 36.1961
_cell_angle_alpha 90.00
_cell_angle_beta 90.00
_cell_angle_gamma 120.00
loop_
_atom_site_label
_atom_site_type_symbol
_atom_site_fract_x
_atom_site_fract_y
_atom_site_fract_z
_atom_site_occupancy
Sn1 Sn 0.0000 0.0000 0.0000 1
Hg1 Hg 0.0000 0.0000 0.1336 1
Cl1 Cl 0.0000 0.0000 0.3755 1

***

No. 4
# PBE SrSnHgCl2, relaxed
# DOS at the Fermi energy: 0.552 states/eV/atom
# ΔE_f (raw): -701 meV per atom
data_SrSnHgCl2
_chemical_formula_sum 'Sr1 Sn1 Hg1 Cl2'
_space_group_name_H-M_alt 'P 4/m m m'
_space_group_IT_number 123
_space_group_name_Hall '-P 4 2'
_cell_length_a 5.486
_cell_length_b 5.486
_cell_length_c 5.810
_cell_angle_alpha 90.00
_cell_angle_beta 90.00
_cell_angle_gamma 90.00
loop_
_atom_site_label
_atom_site_type_symbol
_atom_site_fract_x
_atom_site_fract_y
_atom_site_fract_z
_atom_site_occupancy
Sr1 Sr 0.000 0.000 0.000 1
Sn1 Sn 0.500 0.500 0.500 1
Hg1 Hg 0.500 0.500 0.000 1
Cl1 Cl 0.000 0.500 0.500 1

***

No. 5
# PBE TbSnHgCl6, relaxed
# DOS at the Fermi energy: 0.718 states/eV/atom
# ΔE_f (raw): -1365 meV per atom
data_TbSnHgCl6
_chemical_formula_sum 'Tb1 Sn1 Hg1 Cl6'
_space_group_name_H-M_alt 'P 3 1 2'
_space_group_IT_number 149
_cell_length_a 6.9643
_cell_length_b 6.9643
_cell_length_c 9.0331
_cell_angle_alpha 90.00
_cell_angle_beta 90.00
_cell_angle_gamma 120.00
loop_
_space_group_symop_operation_xyz
'x,y,z'
'-y,x-y,z'
'-x+y,-x,z'
'-y,-x,-z'
'-x+y,y,-z'
'x,x-y,-z'
loop_
_atom_site_label
_atom_site_type_symbol
_atom_site_fract_x
_atom_site_fract_y
_atom_site_fract_z
_atom_site_occupancy
Tb1 Tb 0.0000 0.0000 0.0000 1
Sn1 Sn 0.6667 0.3333 0.0000 1
Hg1 Hg 0.3333 0.6667 0.5000 1
Cl1 Cl 0.3353 0.0402 0.1677 1

***

No. 6
# PBE SnHg3Te2Cl6, relaxed
# DOS at the Fermi energy: 0.000 states/eV/atom
# ΔE_f (raw): -626 meV per atom
data_SnHg3Te2Cl6
_chemical_formula_sum 'Sn2 Hg6 Te4 Cl12'
_space_group_name_H-M_alt 'C 1 2/m 1'
_space_group_IT_number 12
_cell_length_a 16.080
_cell_length_b 7.772
_cell_length_c 6.844
_cell_angle_alpha 90.00
_cell_angle_beta 114.00
_cell_angle_gamma 90.00
loop_
_space_group_symop_operation_xyz
'x,y,z'
'-x,-y,-z'
'-x,y,-z'
'x,-y,z'
'x+1/2,y+1/2,z'
'-x+1/2,-y+1/2,-z'
'-x+1/2,y+1/2,-z'
'x+1/2,-y+1/2,z'
loop_
_atom_site_label
_atom_site_type_symbol
_atom_site_fract_x
_atom_site_fract_y
_atom_site_fract_z
_atom_site_occupancy
Sn1 Sn 0.000 0.000 0.000 1
Hg1 Hg 0.000 0.500 0.500 1
Hg2 Hg 0.250 0.250 0.500 1
Te1 Te 0.187 0.500 0.686 1
Cl1 Cl 0.083 0.000 0.396 1
Cl2 Cl 0.102 0.228 0.972 1

***

No. 7
# PBE Tl2Sn3HgCl8, relaxed
# DOS at the Fermi energy: 0.000 states/eV/atom
# ΔE_f (raw): -898 meV per atom
data_Tl2Sn3HgCl8
_chemical_formula_sum 'Tl6 Sn9 Hg3 Cl24'
_space_group_name_H-M_alt 'R 3 m'
_space_group_IT_number 160
_space_group_name_Hall 'R 3 -2"'
_cell_length_a 8.5291
_cell_length_b 8.5291
_cell_length_c 25.4169
_cell_angle_alpha 90.00
_cell_angle_beta 90.00
_cell_angle_gamma 120.00
loop_
_atom_site_label
_atom_site_type_symbol
_atom_site_fract_x
_atom_site_fract_y
_atom_site_fract_z
_atom_site_occupancy
Tl1 Tl 0.0000 0.0000 0.0000 1
Tl2 Tl 0.0000 0.0000 0.3565 1
Sn1 Sn 0.1693 0.3386 0.2004 1
Hg1 Hg 0.0000 0.0000 0.7252 1
Cl1 Cl 0.0000 0.0000 0.1358 1
Cl2 Cl 0.0000 0.0000 0.5927 1
Cl3 Cl 0.0362 0.5181 0.1427 1
Cl4 Cl 0.1774 0.3548 0.9401 1

***

No. 8
# PBE Tl2SnHgCl6, relaxed
# ΔE_f (raw): -886 meV per atom
data_Tl2SnHgCl6
_chemical_formula_sum 'Tl4 Sn2 Hg2 Cl12'
_space_group_name_H-M_alt 'P 1 21/c 1'
_space_group_IT_number 14
_cell_length_a 7.383
_cell_length_b 7.777
_cell_length_c 12.963
_cell_angle_alpha 90.00
_cell_angle_beta 124.61
_cell_angle_gamma 90.00
loop_
_space_group_symop_operation_xyz
'x,y,z'
'-x,-y,-z'
'-x,y+1/2,-z+1/2'
'x,-y+1/2,z+1/2'
loop_
_atom_site_label
_atom_site_type_symbol
_atom_site_fract_x
_atom_site_fract_y
_atom_site_fract_z
_atom_site_occupancy
Tl1 Tl 0.227 0.072 0.251 1
Sn1 Sn 0.500 0.000 0.000 1
Hg1 Hg 0.000 0.000 0.500 1
Cl1 Cl 0.143 0.204 0.951 1
Cl2 Cl 0.253 0.696 0.954 1
Cl3 Cl 0.340 0.023 0.745 1

***

No. 9
# PBE Tl2SnHgCl4, relaxed
# DOS at the Fermi energy: 0.000 states/eV/atom
# ΔE_f (raw): -867 meV per atom
data_Tl2SnHgCl4
_chemical_formula_sum 'Tl4 Sn2 Hg2 Cl8'
_space_group_name_H-M_alt 'C 1 2/m 1'
_space_group_IT_number 12
_cell_length_a 14.040
_cell_length_b 4.352
_cell_length_c 9.061
_cell_angle_alpha 90.00
_cell_angle_beta 111.50
_cell_angle_gamma 90.00
loop_
_space_group_symop_operation_xyz
'x,y,z'
'-x,-y,-z'
'-x,y,-z'
'x,-y,z'
'x+1/2,y+1/2,z'
'-x+1/2,-y+1/2,-z'
'-x+1/2,y+1/2,-z'
'x+1/2,-y+1/2,z'
loop_
_atom_site_label
_atom_site_type_symbol
_atom_site_fract_x
_atom_site_fract_y
_atom_site_fract_z
_atom_site_occupancy
Tl1 Tl 0.205 0.000 0.209 1
Sn1 Sn 0.000 0.000 0.500 1
Hg1 Hg 0.000 0.500 0.000 1
Cl1 Cl 0.117 0.500 0.437 1
Cl2 Cl 0.147 0.000 0.816 1

***

No. 10
# PBE TmSnHgCl6, relaxed
# DOS at the Fermi energy: 0.707 states/eV/atom
# ΔE_f (raw): -1366 meV per atom
data_TmSnHgCl6
_chemical_formula_sum 'Tm1 Sn1 Hg1 Cl6'
_space_group_name_H-M_alt 'P 3 1 2'
_space_group_IT_number 149
_cell_length_a 6.8758
_cell_length_b 6.8758
_cell_length_c 9.0951
_cell_angle_alpha 90.00
_cell_angle_beta 90.00
_cell_angle_gamma 120.00
loop_
_space_group_symop_operation_xyz
'x,y,z'
'-y,x-y,z'
'-x+y,-x,z'
'-y,-x,-z'
'-x+y,y,-z'
'x,x-y,-z'
loop_
_atom_site_label
_atom_site_type_symbol
_atom_site_fract_x
_atom_site_fract_y
_atom_site_fract_z
_atom_site_occupancy
Tm1 Tm 0.0000 0.0000 0.0000 1
Sn1 Sn 0.6667 0.3333 0.0000 1
Hg1 Hg 0.3333 0.6667 0.5000 1
Cl1 Cl 0.3293 0.0353 0.1651 1

***

No. 11
# PBE VSnHgCl6, relaxed
# DOS at the Fermi energy: 0.691 states/eV/atom
# ΔE_f (raw): -950 meV per atom
data_VSnHgCl6
_chemical_formula_sum 'V1 Sn1 Hg1 Cl6'
_space_group_name_H-M_alt 'P 3 1 2'
_space_group_IT_number 149
_cell_length_a 6.6729
_cell_length_b 6.6729
_cell_length_c 8.7148
_cell_angle_alpha 90.00
_cell_angle_beta 90.00
_cell_angle_gamma 120.00
loop_
_space_group_symop_operation_xyz
'x,y,z'
'-y,x-y,z'
'-x+y,-x,z'
'-y,-x,-z'
'-x+y,y,-z'
'x,x-y,-z'
loop_
_atom_site_label
_atom_site_type_symbol
_atom_site_fract_x
_atom_site_fract_y
_atom_site_fract_z
_atom_site_occupancy
V1 V 0.0000 0.0000 0.0000 1
Sn1 Sn 0.6667 0.3333 0.0000 1
Hg1 Hg 0.3333 0.6667 0.5000 1
Cl1 Cl 0.2897 0.0063 0.1565 1

***

Computed total energy (eV per formula unit) in order:
-14.3; -16.5; -11.0; -13.2; -32.3; -29.8; -44.4; -29.0; -23.4; -32.2; -33.1